Entry 1:
The following is a DFT calculation (PBE) of a relaxed CoGeBr2 crystal.

a b c (Å): 8.9401 8.9401 8.9401
angles (deg): 23.04 23.04 23.04
Last column: magnetic moment on the atom in μB.
Fractional positions:
Ge1 0.0000 0.0000 0.0000  -0.02
Co1 0.5000 0.5000 0.5000  2.10
Br1 0.8910 0.8910 0.8910  0.11
Br2 0.1090 0.1090 0.1090  0.11

**ΔE_f (raw)**: 90 meV per atom
**E**: -3.68 eV per atom
**ΔE to the lowest computed polymorph**: 102 meV/atom


Entry 2:
The following is a DFT calculation (PBE) of a relaxed CoGe2Br crystal.

a b c (Å): 5.8648 5.8648 7.1275
angles (deg): 65.71 65.71 90.00
Fractional positions:
Ge1 0.5159 0.1250 0.2500
Ge2 0.2341 0.6250 0.2500
Ge3 0.3750 0.4841 0.7500
Ge4 0.8750 0.7659 0.7500
Co1 0.5000 0.5000 0.0000
Co2 0.2500 0.7500 0.5000
Br1 0.0000 0.0000 0.0000
Br2 0.7500 0.2500 0.5000

**ΔE_f (raw)**: 201 meV per atom
**E**: -4.30 eV per atom
**ΔE to the lowest computed polymorph**: 0 meV/atom


Entry 3:
The following is a DFT calculation (PBE) of a relaxed CoGe2Br6 crystal.

a b c (Å): 3.9584 7.7967 10.1922
angles (deg): 109.79 90.00 104.71
Last column: magnetic moment on the atom in μB.
Fractional positions:
Co1 0.0000 0.0000 0.5000  2.40
Ge1 0.6636 0.3272 0.8243  0.01
Ge2 0.3363 0.6728 0.1757  0.01
Br1 0.3009 0.6018 0.8652  0.02
Br2 0.6991 0.3982 0.1348  0.02
Br3 0.9812 0.9624 0.2410  0.07
Br4 0.6241 0.2482 0.5447  0.12
Br5 0.0188 0.0377 0.7590  0.07
Br6 0.3759 0.7518 0.4553  0.12

**ΔE_f (raw)**: -447 meV per atom
**E**: -3.38 eV per atom


Entry 4:
The following is a DFT calculation (PBE) of a relaxed CoGe2Br crystal.

a b c (Å): 4.7209 4.7209 4.7209
angles (deg): 60.00 60.00 60.00
Last column: magnetic moment on the atom in μB.
Fractional positions:
Ge1 0.2500 0.2500 0.2500  -0.05
Ge2 0.7500 0.7500 0.7500  -0.05
Co1 0.0000 0.0000 0.0000  1.30
Br1 0.5000 0.5000 0.5000  0.02

**ΔE_f (raw)**: 763 meV per atom
**E**: -3.74 eV per atom
**ΔE to the lowest computed polymorph**: 563 meV/atom


Entry 5:
The following is a DFT calculation (PBE) of a relaxed CoGeBr2 crystal.

a b c (Å): 4.8602 4.8602 4.8602
angles (deg): 60.00 60.00 60.00
Last column: magnetic moment on the atom in μB.
Fractional positions:
Ge1 0.5000 0.5000 0.5000  -0.11
Co1 0.0000 0.0000 0.0000  1.77
Br1 0.2500 0.2500 0.2500  0.03
Br2 0.7500 0.7500 0.7500  0.03

**ΔE_f (raw)**: 532 meV per atom
**E**: -3.24 eV per atom
**ΔE to the lowest computed polymorph**: 544 meV/atom


Entry 6:
The following is a DFT calculation (PBE) of a relaxed In2CoGeBr crystal.

a b c (Å): 5.1101 5.1101 4.4382
angles (deg): 90.00 90.00 90.00
Fractional positions:
Ge1 0.0000 0.0000 0.5000
Co1 0.0000 0.0000 0.0000
Br1 0.5000 0.5000 0.5000
In1 0.0000 0.5000 0.0000
In2 0.5000 0.0000 0.0000

**ΔE_f (raw)**: -275 meV per atom
**E**: -4.05 eV per atom


Entry 7:
The following is a DFT calculation (PBE) of a relaxed La8CoGe3Br4 crystal.

a b c (Å): 8.6838 8.9378 8.7833
angles (deg): 119.54 119.63 90.00
Fractional positions:
La1 0.2183 0.7011 0.9811
La2 0.2419 0.7228 0.4838
La3 0.2590 0.2761 0.5179
La4 0.7629 0.7011 0.9811
La5 0.2371 0.2989 0.0189
La6 0.7410 0.7239 0.4821
La7 0.7581 0.2772 0.5162
La8 0.7817 0.2989 0.0189
Co1 0.0000 0.5000 0.0000
Ge1 0.5000 0.5000 0.0000
Ge2 0.5000 0.5000 0.5000
Ge3 0.0000 0.5000 0.5000
Br1 0.5000 0.0000 0.0000
Br2 0.5000 0.0000 0.5000
Br3 0.0000 0.0000 0.0000
Br4 0.0000 0.0000 0.5000

**ΔE_f (raw)**: -1097 meV per atom
**E**: -5.29 eV per atom


Entry 8:
The following is a DFT calculation (PBE) of a relaxed La8Co3GeBr4 crystal.

a b c (Å): 8.1685 9.1204 8.5264
angles (deg): 117.71 118.62 90.00
Fractional positions:
La1 0.2571 0.6985 0.9741
La2 0.2398 0.6860 0.4797
La3 0.2564 0.3036 0.5128
La4 0.7170 0.6985 0.9741
La5 0.2830 0.3015 0.0259
La6 0.7436 0.6964 0.4872
La7 0.7602 0.3140 0.5203
La8 0.7429 0.3015 0.0259
Co1 0.5000 0.5000 0.0000
Co2 0.5000 0.5000 0.5000
Co3 0.0000 0.5000 0.5000
Ge1 0.0000 0.5000 0.0000
Br1 0.5000 0.0000 0.0000
Br2 0.5000 0.0000 0.5000
Br3 0.0000 0.0000 0.0000
Br4 0.0000 0.0000 0.5000

**ΔE_f (raw)**: -878 meV per atom
**E**: -5.38 eV per atom


Computed values of Fermi-level density of states (unit: states/eV per atom) for the preceding records, in sequence: 2.158, 0.426, 0.599, 1.357, 1.215, 0.085, 0.714, 0.679.
Computed values of mass density (unit: g/cm3) for the preceding records, in sequence: 5.04, 4.73, 3.98, 6.34, 5.96, 6.32, 5.81, 5.90.